Entry 1:
## NpZn6Au4 (PBE)

Data for NpZn6Au4 after structural relaxation.

Formation energy from the elements   -16.6 kJ/mol of atoms
ρ   11.675 g cm⁻³
Total magnetization   4.30 μB per cell

Lattice parameters (Å, degrees): 7.496 7.496 4.142 90.00 90.00 120.00
Fractional coordinates of all 11 atoms:
Np 0.000 0.000 0.000
Zn 0.075 0.538 0.000
Zn 0.409 0.205 0.500
Zn 0.462 0.538 0.000
Zn 0.462 0.925 0.000
Zn 0.795 0.205 0.500
Zn 0.795 0.591 0.500
Au 0.194 0.387 0.500
Au 0.194 0.806 0.500
Au 0.613 0.806 0.500
Au 0.667 0.333 0.000



Entry 2:
## Mn2CoRe (PBE)

Data for Mn2CoRe after structural relaxation.

Formation energy from the elements   9.6 kJ/mol of atoms
ρ   12.329 g cm⁻³
Total magnetization   2.07 μB per cell

Lattice parameters (Å, degrees): 2.592 3.557 5.187 90.00 90.00 90.00
Fractional coordinates of all 4 atoms:
Mn 0.000 0.000 0.229
Mn 0.000 0.000 0.771
Co 0.500 0.500 0.000
Re 0.500 0.500 0.500



Entry 3:
## CaTl2BS (PBE)

Data for CaTl2BS after structural relaxation.

ρ   4.308 g cm⁻³
ΔE_f (raw)   0.99 eV per atom
Total magnetization   0.00 μB per cell

Lattice parameters (Å, degrees): 6.148 6.148 5.015 90.00 90.00 90.00
Fractional coordinates of all 5 atoms:
Ca 0.000 0.000 0.000
Tl 0.000 0.500 0.000
Tl 0.500 0.000 0.000
B 0.500 0.500 0.500
S 0.000 0.000 0.500



Entry 4:
## LuZnSi (PBE)

Data for LuZnSi after structural relaxation.

ρ   7.909 g cm⁻³
ΔE_f (raw)   -0.55 eV per atom
Total magnetization   0.00 μB per cell

Lattice parameters (Å, degrees): 4.072 4.072 3.926 90.00 90.00 120.00
Fractional coordinates of all 3 atoms:
Lu 0.000 0.000 0.000
Zn 0.667 0.333 0.500
Si 0.333 0.667 0.500